# 1
In2FeW | PBE | optimized geometry

Its formation energy is 2.34 eV per formula unit.

Cell lengths 5.227, 5.227, 5.227 Å; angles 134.50, 134.50, 66.31 degrees
Site moments in Bohr magnetons follow the coordinates.
Positions (direct):
Fe 0.750 0.250 0.500  2.92
In 0.000 0.000 0.000  0.02
In 0.500 0.500 0.000  0.02
W 0.250 0.750 0.500  0.51

***

# 2
InFeW2 | PBE | optimized geometry

Its formation energy is 1.54 eV per formula unit.

Cell lengths 2.807, 2.807, 7.979 Å; angles 90.00, 90.00, 90.00 degrees
Site moments in Bohr magnetons follow the coordinates.
Positions (direct):
Fe 0.500 0.500 0.250  0.07
In 0.500 0.500 0.750  0.00
W 0.000 0.000 0.037  -0.01
W 0.000 0.000 0.463  -0.01

***

# 3
InFeW2 | PBE | optimized geometry

Its formation energy is 1.46 eV per formula unit.

Cell lengths 5.287, 5.287, 5.287 Å; angles 144.34, 131.27, 61.83 degrees
Site moments in Bohr magnetons follow the coordinates.
Positions (direct):
Fe 0.750 0.250 0.500  2.13
In 0.250 0.750 0.500  -0.03
W 0.986 0.986 0.000  -0.02
W 0.514 0.514 0.000  -0.02

***

# 4
InFeW2 | PBE | optimized geometry

Its formation energy is 2.04 eV per formula unit.

Cell lengths 4.768, 4.768, 4.768 Å; angles 128.40, 128.40, 75.98 degrees
Site moments in Bohr magnetons follow the coordinates.
Positions (direct):
Fe 0.500 0.500 0.000  2.33
In 0.750 0.250 0.500  -0.02
W 0.000 0.000 0.000  0.23
W 0.250 0.750 0.500  -0.09

***

# 5
In2FeW | PBE | optimized geometry

Its formation energy is 2.36 eV per formula unit.

Cell lengths 4.234, 2.870, 6.512 Å; angles 63.99, 90.00, 90.00 degrees
Site moments in Bohr magnetons follow the coordinates.
Positions (direct):
Fe 0.500 0.750 0.750  2.56
In 0.000 0.004 0.996  -0.02
In 0.000 0.496 0.504  -0.02
W 0.500 0.250 0.250  0.35

***

# 6
In2FeW2 | PBE | optimized geometry

Its formation energy is 3.62 eV per formula unit.

Cell lengths 6.392, 6.392, 4.595 Å; angles 90.00, 90.00, 90.00 degrees
Site moments in Bohr magnetons follow the coordinates.
Positions (direct):
Fe 0.000 0.000 0.000  1.95
Fe 0.500 0.500 0.000  1.97
W 0.359 0.859 0.000  -0.17
W 0.859 0.641 0.000  -0.17
W 0.641 0.141 0.000  -0.17
W 0.141 0.359 0.000  -0.17
In 0.171 0.671 0.500  0.02
In 0.671 0.829 0.500  0.01
In 0.829 0.329 0.500  0.02
In 0.329 0.171 0.500  0.01

***

# 7
InFeW2 | PBE | optimized geometry

Its formation energy is 2.26 eV per formula unit.

Cell lengths 5.144, 5.144, 2.749 Å; angles 90.00, 90.00, 116.37 degrees
Site moments in Bohr magnetons follow the coordinates.
Positions (direct):
Fe 0.500 0.000 0.500  2.51
In 0.000 0.500 0.500  0.00
W 0.000 0.000 0.000  0.01
W 0.500 0.500 0.000  0.01

***

# 8
In2FeW2 | PBE | optimized geometry

Its formation energy is 5.92 eV per formula unit.

Cell lengths 3.785, 3.785, 7.422 Å; angles 75.23, 75.23, 90.00 degrees
Site moments in Bohr magnetons follow the coordinates.
Positions (direct):
Fe 0.000 0.000 0.000  2.85
W 0.415 0.415 0.171  -0.15
W 0.585 0.585 0.829  -0.15
In 0.750 0.250 0.500  0.00
In 0.250 0.750 0.500  0.00

***

# 9
In2FeW | PBE | optimized geometry

Its formation energy is 2.38 eV per formula unit.

Cell lengths 4.239, 4.077, 4.077 Å; angles 90.00, 90.00, 90.00 degrees
Site moments in Bohr magnetons follow the coordinates.
Positions (direct):
Fe 0.500 0.000 0.500  2.55
In 0.000 0.000 0.000  -0.03
In 0.000 0.500 0.500  -0.03
W 0.500 0.500 0.000  0.22

***

# 10
InFe4W | PBE | optimized geometry

Its formation energy is 0.80 eV per formula unit.

Cell lengths 4.825, 4.825, 4.825 Å; angles 60.00, 60.00, 60.00 degrees
Site moments in Bohr magnetons follow the coordinates.
Positions (direct):
In 0.750 0.750 0.750  -0.04
Fe 0.878 0.374 0.374  1.83
Fe 0.374 0.374 0.878  1.83
Fe 0.374 0.878 0.374  1.83
Fe 0.374 0.374 0.374  1.83
W 0.000 0.000 0.000  -0.57

***

# 11
In2FeW | PBE | optimized geometry

Its formation energy is 2.17 eV per formula unit.

Cell lengths 2.861, 2.861, 8.558 Å; angles 90.00, 90.00, 90.00 degrees
Site moments in Bohr magnetons follow the coordinates.
Positions (direct):
Fe 0.500 0.500 0.750  2.33
In 0.000 0.000 0.984  -0.04
In 0.000 0.000 0.516  -0.04
W 0.500 0.500 0.250  -0.08

***

# 12
InFeW2 | PBE | optimized geometry

Its formation energy is 2.01 eV per formula unit.

Cell lengths 5.300, 5.300, 2.754 Å; angles 81.60, 81.60, 118.51 degrees
Site moments in Bohr magnetons follow the coordinates.
Positions (direct):
Fe 0.500 0.000 0.500  2.54
In 0.000 0.500 0.500  -0.01
W 0.000 0.000 0.000  0.01
W 0.500 0.500 0.000  0.01

***

# 13
InFe3W | PBE | optimized geometry

Its formation energy is 10.63 eV per formula unit.

Cell lengths 4.617, 4.617, 4.617 Å; angles 90.00, 90.00, 90.00 degrees
Site moments in Bohr magnetons follow the coordinates.
Positions (direct):
Fe 0.000 0.500 0.000  2.75
Fe 0.000 0.000 0.500  2.94
Fe 0.500 0.000 0.000  2.53
W 0.500 0.500 0.500  -2.15
In 0.000 0.000 0.000  -0.11

***

# 14
In2FeW | PBE | optimized geometry

Its formation energy is 2.38 eV per formula unit.

Cell lengths 4.981, 4.981, 5.274 Å; angles 78.71, 78.71, 33.98 degrees
Site moments in Bohr magnetons follow the coordinates.
Positions (direct):
Fe 0.750 0.750 0.750  2.60
In 0.006 0.006 0.995  -0.01
In 0.494 0.494 0.505  -0.01
W 0.250 0.250 0.250  0.09

***

# 15
In2FeW | PBE | optimized geometry

Its formation energy is 2.15 eV per formula unit.

Cell lengths 4.244, 3.067, 5.761 Å; angles 72.60, 90.00, 90.00 degrees
Positions (direct):
Fe 0.500 0.622 0.726
In 0.000 0.936 0.971
In 0.500 0.295 0.281
W 0.000 0.646 0.523

***

# 16
In2FeW | PBE | optimized geometry

Its formation energy is 1.26 eV per formula unit.

Cell lengths 3.004, 3.004, 8.194 Å; angles 90.00, 90.00, 90.00 degrees
Site moments in Bohr magnetons follow the coordinates.
Positions (direct):
Fe 0.500 0.500 0.713  0.94
In 0.000 0.000 0.943  0.00
In 0.500 0.500 0.291  0.00
W 0.000 0.000 0.553  -0.16

***

# 17
InFeW2 | PBE | optimized geometry

Its formation energy is 1.78 eV per formula unit.

Cell lengths 4.352, 2.765, 5.649 Å; angles 72.24, 90.00, 90.00 degrees
Site moments in Bohr magnetons follow the coordinates.
Positions (direct):
Fe 0.500 0.250 0.250  2.32
In 0.500 0.750 0.750  0.00
W 0.000 0.028 0.020  -0.04
W 0.000 0.472 0.480  -0.04

***

# 18
InFeW4 | PBE | optimized geometry

Its formation energy is 4.03 eV per formula unit.

Cell lengths 5.310, 5.310, 5.310 Å; angles 60.00, 60.00, 60.00 degrees
Site moments in Bohr magnetons follow the coordinates.
Positions (direct):
In 0.000 0.000 0.000  0.01
Fe 0.250 0.250 0.250  2.82
W 0.625 0.625 0.126  0.01
W 0.625 0.126 0.625  0.01
W 0.625 0.625 0.625  0.01
W 0.126 0.625 0.625  0.01

***

# 19
In2FeW | PBE | optimized geometry

Its formation energy is 3.14 eV per formula unit.

Cell lengths 4.635, 4.635, 4.635 Å; angles 60.00, 60.00, 60.00 degrees
Site moments in Bohr magnetons follow the coordinates.
Positions (direct):
Fe 0.500 0.500 0.500  2.14
In 0.000 0.000 0.000  0.05
In 0.750 0.750 0.750  -0.02
W 0.250 0.250 0.250  -0.05

***

# 20
InFeW2 | PBE | optimized geometry

Its formation energy is 1.71 eV per formula unit.

Cell lengths 4.387, 2.781, 5.498 Å; angles 78.88, 90.00, 90.00 degrees
Site moments in Bohr magnetons follow the coordinates.
Positions (direct):
Fe 0.000 0.533 0.478  2.52
In 0.500 0.672 0.743  0.00
W 0.000 0.034 0.022  0.11
W 0.500 0.261 0.257  0.02

***

# 21
In2FeW | PBE | optimized geometry

Its formation energy is 2.46 eV per formula unit.

Cell lengths 5.439, 5.439, 5.439 Å; angles 146.28, 126.91, 64.38 degrees
Site moments in Bohr magnetons follow the coordinates.
Positions (direct):
Fe 0.250 0.750 0.500  2.37
In 0.018 0.018 0.000  -0.03
In 0.482 0.482 0.000  -0.03
W 0.750 0.250 0.500  0.11

***

# 22
InFeW | PBE | optimized geometry

Its formation energy is 0.93 eV per formula unit.

Cell lengths 5.811, 5.811, 5.811 Å; angles 150.27, 150.27, 42.55 degrees
Site moments in Bohr magnetons follow the coordinates.
Positions (direct):
Fe 0.018 0.018 0.000  1.10
In 0.342 0.342 0.000  0.00
W 0.640 0.640 0.000  -0.15

***

# 23
InFeW2 | PBE | optimized geometry

Its formation energy is 1.47 eV per formula unit.

Cell lengths 2.848, 2.848, 7.816 Å; angles 90.00, 90.00, 90.12 degrees
Positions (direct):
Fe 0.000 0.000 0.478
In 0.500 0.500 0.722
W 0.000 0.000 0.016
W 0.500 0.500 0.283

***

# 24
InFeW2 | PBE | optimized geometry

Its formation energy is 2.16 eV per formula unit.

Cell lengths 9.227, 9.227, 9.227 Å; angles 17.89, 17.89, 17.89 degrees
Site moments in Bohr magnetons follow the coordinates.
Positions (direct):
Fe 0.250 0.250 0.250  1.50
In 0.750 0.750 0.750  0.01
W 0.991 0.991 0.991  -0.15
W 0.509 0.509 0.509  -0.15

***

# 25
InFeW | PBE | optimized geometry

Its formation energy is 1.44 eV per formula unit.

Cell lengths 2.945, 2.945, 6.611 Å; angles 90.00, 90.00, 120.00 degrees
Site moments in Bohr magnetons follow the coordinates.
Positions (direct):
Fe 0.000 0.000 0.978  1.76
In 0.667 0.333 0.321  -0.02
W 0.333 0.667 0.701  -0.14

***

# 26
In4FeW | PBE | optimized geometry

Its formation energy is 6.41 eV per formula unit.

Cell lengths 5.629, 5.629, 5.629 Å; angles 60.00, 60.00, 60.00 degrees
Site moments in Bohr magnetons follow the coordinates.
Positions (direct):
In 0.875 0.375 0.375  0.00
In 0.375 0.375 0.875  0.00
In 0.375 0.875 0.375  0.00
In 0.375 0.375 0.375  0.00
Fe 0.000 0.000 0.000  3.14
W 0.750 0.750 0.750  0.71

***

# 27
In3FeW | PBE | optimized geometry

Its formation energy is 6.98 eV per formula unit.

Cell lengths 4.805, 4.805, 4.805 Å; angles 90.00, 90.00, 90.00 degrees
Positions (direct):
Fe 0.000 0.000 0.000
W 0.500 0.500 0.500
In 0.000 0.500 0.000
In 0.000 0.000 0.500
In 0.500 0.000 0.000

***

# 28
InFeW2 | PBE | optimized geometry

Its formation energy is 1.76 eV per formula unit.

Cell lengths 3.469, 4.201, 4.409 Å; angles 90.00, 90.00, 90.00 degrees
Site moments in Bohr magnetons follow the coordinates.
Positions (direct):
Fe 0.500 0.000 0.500  2.25
In 0.000 0.500 0.500  -0.03
W 0.000 0.000 0.000  -0.01
W 0.500 0.500 0.000  0.03

***

# 29
In2FeW | PBE | optimized geometry

Its formation energy is 4.38 eV per formula unit.

Cell lengths 7.360, 7.360, 5.878 Å; angles 51.24, 51.24, 90.00 degrees
Positions (direct):
Fe 0.500 0.500 0.000
Fe 0.250 0.750 0.500
W 0.000 0.000 0.000
W 0.750 0.250 0.500
In 0.594 0.125 0.250
In 0.156 0.625 0.250
In 0.375 0.406 0.750
In 0.875 0.844 0.750

***

# 30
In2FeW | PBE | optimized geometry

Its formation energy is 2.12 eV per formula unit.

Cell lengths 9.371, 9.371, 9.371 Å; angles 18.34, 18.34, 18.34 degrees
Site moments in Bohr magnetons follow the coordinates.
Positions (direct):
Fe 0.750 0.750 0.750  2.49
In 0.004 0.004 0.004  -0.03
In 0.496 0.496 0.496  -0.03
W 0.250 0.250 0.250  -0.04